Density functional theory data (PBE) for a relaxed Er2FeHg crystal.

CIF file:
```
data_Er2FeHg
_chemical_formula_sum 'Er8 Fe4 Hg4'
_cell_length_a 7.087
_cell_length_b 7.087
_cell_length_c 7.087
_cell_angle_alpha 90.00
_cell_angle_beta 90.00
_cell_angle_gamma 90.00
_symmetry_space_group_name_H-M 'F m -3 m'
_symmetry_Int_Tables_number 225
_symmetry_space_group_name_Hall '-F 4 2 3'
loop_
_atom_site_label
_atom_site_fract_x
_atom_site_fract_y
_atom_site_fract_z
_atom_site_occupancy
Er1 0.250 0.250 0.250 1
Fe1 0.000 0.000 0.000 1
Hg1 0.000 0.000 0.500 1
```

Summary:
* distance to the lowest polymorph of the same formula: 109 meV/atom
* crystal system: cubic


Density functional theory data (PBE) for a relaxed HoErFeHg crystal.

CIF file:
```
data_HoErFeHg
_chemical_formula_sum 'Ho4 Er4 Fe4 Hg4'
_cell_length_a 7.103
_cell_length_b 7.103
_cell_length_c 7.103
_cell_angle_alpha 90.00
_cell_angle_beta 90.00
_cell_angle_gamma 90.00
_symmetry_space_group_name_H-M 'F -4 3 m'
_symmetry_Int_Tables_number 216
_symmetry_space_group_name_Hall 'F -4 2 3'
loop_
_atom_site_label
_atom_site_fract_x
_atom_site_fract_y
_atom_site_fract_z
_atom_site_occupancy
Ho1 0.000 0.000 0.000 1
Er1 0.000 0.000 0.500 1
Fe1 0.250 0.250 0.250 1
Hg1 0.250 0.250 0.750 1
```

Summary:
* crystal system: cubic


Density functional theory data (PBE) for a relaxed ErTmFeHg crystal.

CIF file:
```
data_ErTmFeHg
_chemical_formula_sum 'Er4 Tm4 Fe4 Hg4'
_cell_length_a 7.069
_cell_length_b 7.069
_cell_length_c 7.069
_cell_angle_alpha 90.00
_cell_angle_beta 90.00
_cell_angle_gamma 90.00
_symmetry_space_group_name_H-M 'F -4 3 m'
_symmetry_Int_Tables_number 216
_symmetry_space_group_name_Hall 'F -4 2 3'
loop_
_atom_site_label
_atom_site_fract_x
_atom_site_fract_y
_atom_site_fract_z
_atom_site_occupancy
Er1 0.000 0.000 0.000 1
Tm1 0.000 0.000 0.500 1
Fe1 0.250 0.250 0.750 1
Hg1 0.250 0.250 0.250 1
```

Summary:
* crystal system: cubic


Density functional theory data (PBE) for a relaxed HoErFe crystal.

CIF file:
```
data_HoErFe
_chemical_formula_sum 'Ho2 Er2 Fe2'
_cell_length_a 3.301
_cell_length_b 3.301
_cell_length_c 12.688
_cell_angle_alpha 90.00
_cell_angle_beta 90.00
_cell_angle_gamma 90.00
_symmetry_space_group_name_H-M 'I 4 m m'
_symmetry_Int_Tables_number 107
_symmetry_space_group_name_Hall 'I 4 -2'
loop_
_atom_site_label
_atom_site_fract_x
_atom_site_fract_y
_atom_site_fract_z
_atom_site_occupancy
Ho1 0.000 0.000 0.000 1
Er1 0.000 0.000 0.748 1
Fe1 0.000 0.000 0.373 1
```

Summary:
* distance to the lowest polymorph of the same formula: 0 meV/atom
* crystal system: tetragonal


no.,mass density (Mg/m³),ΔE_f (eV/atom)
1,11.026,-0.10
2,10.910,-0.10
3,11.144,-0.11
4,9.321,0.02